Entry 1:
{"formula": "SmLu5", "functional": "PBE", "state": "optimized geometry", "cell": [[2.466, -7.404, 0.000], [2.466, 7.404, 0.000], [0.000, 0.000, 4.928]], "species": ["Sm", "Lu", "Lu", "Lu", "Lu", "Lu"], "fractional_positions": [[0.000, 0.000, 0.000], [0.167, 0.833, 0.500], [0.332, 0.668, 0.000], [0.500, 0.500, 0.500], [0.668, 0.332, 0.000], [0.833, 0.167, 0.500]], "vol_a3_per_atom": 30.0, "formation_energy_mev_per_atom": 34}

=====

Entry 2:
{"formula": "SmLu2", "functional": "PBE", "state": "optimized geometry", "cell": [[-1.754, 1.754, 7.504], [1.754, -1.754, 7.504], [1.754, 1.754, -7.504]], "species": ["Sm", "Lu", "Lu"], "fractional_positions": [[0.000, 0.000, 0.000], [0.331, 0.331, 0.000], [0.669, 0.669, 0.000]], "e_above_lowest_polymorph_ev_per_atom": 0.000, "vol_a3_per_atom": 30.8, "formation_energy_mev_per_atom": 31}

=====

Entry 3:
{"formula": "Sm3Lu", "functional": "PBE", "state": "optimized geometry", "cell": [[7.282, 0.000, 0.000], [-3.641, 6.307, 0.000], [0.000, 0.000, 5.742]], "species": ["Sm", "Sm", "Sm", "Sm", "Sm", "Sm", "Lu", "Lu"], "fractional_positions": [[0.168, 0.336, 0.250], [0.168, 0.832, 0.250], [0.336, 0.168, 0.750], [0.664, 0.832, 0.250], [0.832, 0.168, 0.750], [0.832, 0.664, 0.750], [0.333, 0.667, 0.750], [0.667, 0.333, 0.250]], "e_above_lowest_polymorph_ev_per_atom": 0.000, "vol_a3_per_atom": 33.0, "formation_energy_mev_per_atom": 17}

=====

Entry 4:
{"formula": "SmLu6", "functional": "PBE", "state": "optimized geometry", "cell": [[-4.059, 4.059, 4.059], [4.059, -4.059, 4.059], [4.059, 4.059, -4.059]], "species": ["Sm", "Lu", "Lu", "Lu", "Lu", "Lu", "Lu"], "fractional_positions": [[0.000, 0.000, 0.000], [0.250, 0.500, 0.750], [0.250, 0.750, 0.500], [0.500, 0.250, 0.750], [0.500, 0.750, 0.250], [0.750, 0.250, 0.500], [0.750, 0.500, 0.250]], "vol_a3_per_atom": 38.2, "formation_energy_mev_per_atom": 1562}

=====

Entry 5:
{"formula": "Sm2Lu", "functional": "PBE", "state": "optimized geometry", "cell": [[0.000, 4.653, 4.653], [4.653, 0.000, 4.653], [4.653, 4.653, 0.000]], "species": ["Sm", "Sm", "Sm", "Sm", "Lu", "Lu"], "fractional_positions": [[0.000, 0.000, 0.000], [0.000, 0.000, 0.500], [0.000, 0.500, 0.000], [0.500, 0.000, 0.000], [0.375, 0.375, 0.375], [0.625, 0.625, 0.625]], "e_above_lowest_polymorph_ev_per_atom": 0.236, "vol_a3_per_atom": 33.6, "formation_energy_mev_per_atom": 264}

=====

Entry 6:
{"formula": "Sm3Lu", "functional": "PBE", "state": "optimized geometry", "cell": [[5.068, 0.000, 0.000], [0.000, 5.068, 0.000], [0.000, 0.000, 5.068]], "species": ["Sm", "Sm", "Sm", "Lu"], "fractional_positions": [[0.000, 0.000, 0.500], [0.000, 0.500, 0.000], [0.500, 0.000, 0.000], [0.500, 0.500, 0.500]], "e_above_lowest_polymorph_ev_per_atom": 0.001, "vol_a3_per_atom": 32.5, "formation_energy_mev_per_atom": 18}

=====

Entry 7:
{"formula": "Sm5Lu", "functional": "PBE", "state": "optimized geometry", "cell": [[2.546, -7.634, 0.000], [2.546, 7.634, 0.000], [0.000, 0.000, 5.087]], "species": ["Sm", "Sm", "Sm", "Sm", "Sm", "Lu"], "fractional_positions": [[0.000, 0.000, 0.000], [0.165, 0.835, 0.500], [0.334, 0.666, 0.000], [0.666, 0.334, 0.000], [0.835, 0.165, 0.500], [0.500, 0.500, 0.500]], "vol_a3_per_atom": 33.0, "formation_energy_mev_per_atom": 18}

=====

Entry 8:
{"formula": "Sm3Lu", "functional": "PBE", "state": "optimized geometry", "cell": [[-2.542, 2.542, 5.041], [2.542, -2.542, 5.041], [2.542, 2.542, -5.041]], "species": ["Sm", "Sm", "Sm", "Lu"], "fractional_positions": [[0.000, 0.000, 0.000], [0.250, 0.750, 0.500], [0.750, 0.250, 0.500], [0.500, 0.500, 0.000]], "e_above_lowest_polymorph_ev_per_atom": 0.002, "vol_a3_per_atom": 32.6, "formation_energy_mev_per_atom": 19}

=====

What is the formula in the fifth record? Sm2Lu